# 1
# Tb3Sm6HoSc2

A relaxed Tb3Sm6HoSc2 crystal (PBE, Alexandria via LeMat-Bulk).

It has space group C2/m (No. 12), with a = 6.157 Å, b = 10.660 Å, c = 11.631 Å, α = 90.00°, β = 100.13° and γ = 90.00°. The asymmetric unit holds Tb at (0.000, 0.000, 0.000), Tb at (0.000, 0.333, 0.000), Sm at (0.245, 0.000, 0.744), Sm at (0.250, 0.168, 0.256), Ho at (0.000, 0.500, 0.500) and Sc at (0.000, 0.167, 0.500).

The calculation puts the volume at 376 Å³/f.u. Its energy relative to the elements is 0.423 eV per formula unit. The density of states at the Fermi level comes out at 29.2 states/eV/cell. The value obtained for the total magnetic moment is 0.00 μB/cell.

---

# 2
# TbSmHo2Sc2

A relaxed TbSmHo2Sc2 crystal (PBE, Alexandria via LeMat-Bulk).

It has space group Pnnm (No. 58), with a = 6.287 Å, b = 17.348 Å, c = 3.337 Å, α = 90.00°, β = 90.00° and γ = 90.00°. The asymmetric unit holds Tb at (0.000, 0.000, 0.000), Sm at (0.000, 0.500, 0.000), Ho at (0.224, 0.191, 0.000) and Sc at (0.223, 0.353, 0.500).

The calculation puts the volume at 182 Å³/f.u. Its energy relative to the elements is 1.690 eV per formula unit. The density of states at the Fermi level comes out at 19.2 states/eV/cell. The value obtained for the total magnetic moment is 0.00 μB/cell.

---

# 3
# Tb2SmHo6Sc3

A relaxed Tb2SmHo6Sc3 crystal (PBE, Alexandria via LeMat-Bulk).

It has space group C2/m (No. 12), with a = 6.039 Å, b = 10.454 Å, c = 11.456 Å, α = 90.00°, β = 100.10° and γ = 90.00°. The asymmetric unit holds Tb at (0.000, 0.167, 0.000), Sm at (0.000, 0.500, 0.000), Ho at (0.246, 0.167, 0.740), Ho at (0.246, 0.500, 0.740), Sc at (0.000, 0.000, 0.500) and Sc at (0.000, 0.333, 0.500).

The calculation puts the volume at 356 Å³/f.u. Its energy relative to the elements is 0.524 eV per formula unit. The density of states at the Fermi level comes out at 35.5 states/eV/cell. The value obtained for the total magnetic moment is 0.00 μB/cell.

---

# 4
# TbSmHo5Sc2

A relaxed TbSmHo5Sc2 crystal (PBE, Alexandria via LeMat-Bulk).

It has space group Cmc2_1 (No. 36), with a = 5.571 Å, b = 21.331 Å, c = 9.323 Å, α = 90.00°, β = 90.00° and γ = 90.00°. The asymmetric unit holds Tb at (0.000, 0.187, 0.000), Sm at (0.000, 0.402, 0.398), Ho at (0.000, 0.009, 0.000), Ho at (0.000, 0.265, 0.315), Ho at (0.000, 0.307, 0.701), Ho at (0.000, 0.391, 0.025), Ho at (0.000, 0.469, 0.729), Sc at (0.000, 0.113, 0.306) and Sc at (0.000, 0.140, 0.678).

The calculation puts the volume at 277 Å³/f.u. Its energy relative to the elements is 1.524 eV per formula unit. The density of states at the Fermi level comes out at 54.3 states/eV/cell. The value obtained for the total magnetic moment is 0.00 μB/cell.

---

# 5
# TbSmHo2Sc

A relaxed TbSmHo2Sc crystal (PBE, Alexandria via LeMat-Bulk).

It has space group Cmcm (No. 63), with a = 8.178 Å, b = 11.227 Å, c = 7.070 Å, α = 90.00°, β = 90.00° and γ = 90.00°. The asymmetric unit holds Tb at (0.000, 0.233, 0.250), Sm at (0.000, 0.231, 0.750), Ho at (0.197, 0.000, 0.000) and Sc at (0.000, 0.497, 0.750).

The calculation puts the volume at 162 Å³/f.u. Its energy relative to the elements is 1.681 eV per formula unit. The density of states at the Fermi level comes out at 24.5 states/eV/cell. The value obtained for the total magnetic moment is 0.00 μB/cell.

---

# 6
# Tb2Sm6Ho3Sc

A relaxed Tb2Sm6Ho3Sc crystal (PBE, Alexandria via LeMat-Bulk).

It has space group C2/m (No. 12), with a = 6.180 Å, b = 10.701 Å, c = 11.732 Å, α = 90.00°, β = 100.08° and γ = 90.00°. The asymmetric unit holds Tb at (0.000, 0.167, 0.000), Sm at (0.248, 0.335, 0.248), Sm at (0.248, 0.500, 0.751), Ho at (0.000, 0.000, 0.500), Ho at (0.000, 0.334, 0.500) and Sc at (0.000, 0.500, 0.000).

The calculation puts the volume at 382 Å³/f.u. Its energy relative to the elements is 0.291 eV per formula unit. The density of states at the Fermi level comes out at 29.3 states/eV/cell. The value obtained for the total magnetic moment is 0.00 μB/cell.

---

# 7
# TbSm2Ho2Sc

A relaxed TbSm2Ho2Sc crystal (PBE, Alexandria via LeMat-Bulk).

It has space group Pmma (No. 51), with a = 6.855 Å, b = 5.577 Å, c = 9.642 Å, α = 90.00°, β = 90.00° and γ = 90.00°. The asymmetric unit holds Tb at (0.250, 0.000, 0.151), Sm at (0.000, 0.000, 0.500), Sm at (0.250, 0.500, 0.686), Ho at (0.250, 0.000, 0.830), Ho at (0.250, 0.500, 0.337) and Sc at (0.000, 0.500, 0.000).

The calculation puts the volume at 184 Å³/f.u. Its energy relative to the elements is 0.559 eV per formula unit. The density of states at the Fermi level comes out at 18.8 states/eV/cell. The value obtained for the total magnetic moment is 0.00 μB/cell.

---

# 8
# Tb6SmHo2Sc

A relaxed Tb6SmHo2Sc crystal (PBE, Alexandria via LeMat-Bulk).

It has space group C2/c (No. 15), with a = 9.098 Å, b = 14.899 Å, c = 9.371 Å, α = 90.00°, β = 96.60° and γ = 90.00°. The asymmetric unit holds Tb at (0.059, 0.184, 0.445), Tb at (0.099, 0.391, 0.615), Tb at (0.218, 0.221, 0.810), Sm at (0.000, 0.025, 0.750), Ho at (0.245, 0.448, 0.951) and Sc at (0.000, 0.415, 0.250).

The calculation puts the volume at 315 Å³/f.u. Its energy relative to the elements is 1.274 eV per formula unit. The density of states at the Fermi level comes out at 54.5 states/eV/cell. The value obtained for the total magnetic moment is 0.00 μB/cell.

---

# 9
# Tb3Sm2Ho6Sc

A relaxed Tb3Sm2Ho6Sc crystal (PBE, Alexandria via LeMat-Bulk).

It has space group C2/m (No. 12), with a = 6.109 Å, b = 10.577 Å, c = 11.704 Å, α = 90.00°, β = 99.99° and γ = 90.00°. The asymmetric unit holds Tb at (0.000, 0.000, 0.000), Tb at (0.000, 0.334, 0.000), Sm at (0.000, 0.167, 0.500), Ho at (0.248, 0.335, 0.749), Ho at (0.248, 0.500, 0.251) and Sc at (0.000, 0.500, 0.500).

The calculation puts the volume at 372 Å³/f.u. Its energy relative to the elements is 0.299 eV per formula unit. The density of states at the Fermi level comes out at 31.0 states/eV/cell. The value obtained for the total magnetic moment is 0.00 μB/cell.

---

# 10
# Sm2HoScTe5

A relaxed Sm2HoScTe5 crystal (PBE, Alexandria via LeMat-Bulk).

It has space group P4/mmm (No. 123), with a = 5.544 Å, b = 5.544 Å, c = 11.103 Å, α = 90.00°, β = 90.00° and γ = 90.00°. The asymmetric unit holds Sm at (0.000, 0.000, 0.171), Ho at (0.500, 0.500, 0.000), Sc at (0.500, 0.500, 0.500), Te at (0.000, 0.000, 0.500), Te at (0.000, 0.500, 0.000) and Te at (0.500, 0.500, 0.261).

The calculation puts the volume at 341 Å³/f.u. The density of states at the Fermi level comes out at 5.1 states/eV/cell. The value obtained for the total magnetic moment is 0.97 μB/cell. The uncorrected formation energy comes out at -0.70 eV/atom.

---

# 11
# Sm2HoScTe4

A relaxed Sm2HoScTe4 crystal (PBE, Alexandria via LeMat-Bulk).

It has space group P2/m (No. 10), with a = 7.492 Å, b = 4.300 Å, c = 7.646 Å, α = 90.00°, β = 108.85° and γ = 90.00°. The asymmetric unit holds Sm at (0.000, 0.000, 0.000), Sm at (0.500, 0.500, 0.000), Ho at (0.000, 0.500, 0.500), Sc at (0.500, 0.000, 0.500), Te at (0.251, 0.000, 0.736) and Te at (0.262, 0.500, 0.268).

The calculation puts the volume at 233 Å³/f.u. The density of states at the Fermi level comes out at 5.1 states/eV/cell. The value obtained for the total magnetic moment is 0.00 μB/cell. The uncorrected formation energy comes out at -1.27 eV/atom.

---

# 12
# SmHo2ScTe6

A relaxed SmHo2ScTe6 crystal (PBE, Alexandria via LeMat-Bulk).

It has space group R3 (No. 146, hexagonal axes), with a = 7.6184 Å, b = 7.6184 Å, c = 20.8896 Å, α = 90.00°, β = 90.00° and γ = 120.00°. The asymmetric unit holds Sm at (0.0000, 0.0000, 0.0000), Ho at (0.0000, 0.0000, 0.1849), Ho at (0.0000, 0.0000, 0.6875), Sc at (0.0000, 0.0000, 0.5028), Te at (0.0036, 0.3495, 0.7616) and Te at (0.0288, 0.6697, 0.2573).

The calculation puts the volume at 350 Å³/f.u. The value obtained for the total magnetic moment is 0.00 μB/cell. The uncorrected formation energy comes out at -1.31 eV/atom.

---

# 13
# SmHo3Sc2Te6

A relaxed SmHo3Sc2Te6 crystal (PBE, Alexandria via LeMat-Bulk).

It has space group C2/m (No. 12), with a = 18.729 Å, b = 4.287 Å, c = 8.632 Å, α = 90.00°, β = 102.78° and γ = 90.00°. The asymmetric unit holds Sm at (0.000, 0.000, 0.000), Ho at (0.000, 0.000, 0.500), Ho at (0.159, 0.500, 0.832), Sc at (0.164, 0.500, 0.331), Te at (0.006, 0.500, 0.259), Te at (0.171, 0.000, 0.578) and Te at (0.173, 0.000, 0.095).

The calculation puts the volume at 338 Å³/f.u. The density of states at the Fermi level comes out at 15.6 states/eV/cell. The value obtained for the total magnetic moment is 0.00 μB/cell. The uncorrected formation energy comes out at -1.21 eV/atom.

---

# 14
# Sm2Ho3ScTe6

A relaxed Sm2Ho3ScTe6 crystal (PBE, Alexandria via LeMat-Bulk).

It has space group C2/m (No. 12), with a = 18.960 Å, b = 4.323 Å, c = 8.730 Å, α = 90.00°, β = 102.89° and γ = 90.00°. The asymmetric unit holds Sm at (0.170, 0.000, 0.335), Ho at (0.000, 0.500, 0.500), Ho at (0.175, 0.000, 0.837), Sc at (0.000, 0.500, 0.000), Te at (0.004, 0.000, 0.760), Te at (0.159, 0.500, 0.073) and Te at (0.163, 0.500, 0.588).

The calculation puts the volume at 349 Å³/f.u. The density of states at the Fermi level comes out at 14.4 states/eV/cell. The value obtained for the total magnetic moment is 0.00 μB/cell. The uncorrected formation energy comes out at -1.26 eV/atom.

---

# 15
# Sm3Ho6Th2Sc

A relaxed Sm3Ho6Th2Sc crystal (PBE, Alexandria via LeMat-Bulk).

It has space group C2/m (No. 12), with a = 6.122 Å, b = 10.600 Å, c = 11.728 Å, α = 90.00°, β = 100.04° and γ = 90.00°. The asymmetric unit holds Sm at (0.000, 0.000, 0.000), Sm at (0.000, 0.334, 0.000), Ho at (0.248, 0.000, 0.745), Ho at (0.248, 0.333, 0.745), Th at (0.000, 0.166, 0.500) and Sc at (0.000, 0.500, 0.500).

The calculation puts the volume at 375 Å³/f.u. Its energy relative to the elements is 0.286 eV per formula unit. The density of states at the Fermi level comes out at 32.7 states/eV/cell. The value obtained for the total magnetic moment is 0.00 μB/cell.

---

# 16
# Sm2HoThSc

A relaxed Sm2HoThSc crystal (PBE, Alexandria via LeMat-Bulk).

It has space group Pmma (No. 51), with a = 6.250 Å, b = 8.065 Å, c = 6.347 Å, α = 90.00°, β = 90.00° and γ = 90.00°. The asymmetric unit holds Sm at (0.250, 0.197, 0.195), Ho at (0.250, 0.000, 0.674), Th at (0.250, 0.500, 0.569) and Sc at (0.000, 0.500, 0.000).

The calculation puts the volume at 160 Å³/f.u. Its energy relative to the elements is 1.325 eV per formula unit. The density of states at the Fermi level comes out at 12.9 states/eV/cell. The value obtained for the total magnetic moment is 0.00 μB/cell.

---

# 17
# Sm2Ho5ThSc

A relaxed Sm2Ho5ThSc crystal (PBE, Alexandria via LeMat-Bulk).

It has space group Cmc2_1 (No. 36), with a = 5.639 Å, b = 21.777 Å, c = 9.438 Å, α = 90.00°, β = 90.00° and γ = 90.00°. The asymmetric unit holds Sm at (0.000, 0.115, 0.000), Sm at (0.000, 0.135, 0.393), Ho at (0.000, 0.012, 0.695), Ho at (0.000, 0.268, 0.014), Ho at (0.000, 0.304, 0.402), Ho at (0.000, 0.393, 0.728), Ho at (0.000, 0.472, 0.431), Th at (0.000, 0.400, 0.114) and Sc at (0.000, 0.193, 0.697).

The calculation puts the volume at 290 Å³/f.u. Its energy relative to the elements is 1.555 eV per formula unit. The density of states at the Fermi level comes out at 51.4 states/eV/cell. The value obtained for the total magnetic moment is 0.00 μB/cell.

---

# 18
# SmHoTh2Sc5

A relaxed SmHoTh2Sc5 crystal (PBE, Alexandria via LeMat-Bulk).

It has space group I4/mcm (No. 140), with a = 8.419 Å, b = 8.419 Å, c = 14.510 Å, α = 90.00°, β = 90.00° and γ = 90.00°. The asymmetric unit holds Sm at (0.000, 0.500, 0.250), Ho at (0.000, 0.000, 0.250), Th at (0.124, 0.376, 0.000), Sc at (0.000, 0.000, 0.000) and Sc at (0.208, 0.292, 0.360).

The calculation puts the volume at 257 Å³/f.u. Its energy relative to the elements is 3.096 eV per formula unit. The density of states at the Fermi level comes out at 53.2 states/eV/cell. The value obtained for the total magnetic moment is 0.00 μB/cell.

---

# 19
# SmHo2ScTl4

A relaxed SmHo2ScTl4 crystal (PBE, Alexandria via LeMat-Bulk).

It has space group R-3m (No. 166, hexagonal axes), with a = 5.3126 Å, b = 5.3126 Å, c = 26.2025 Å, α = 90.00°, β = 90.00° and γ = 120.00°. The asymmetric unit holds Sm at (0.0000, 0.0000, 0.0000), Ho at (0.0000, 0.0000, 0.2485), Sc at (0.0000, 0.0000, 0.5000), Tl at (0.0000, 0.0000, 0.1272) and Tl at (0.0000, 0.0000, 0.3777).

The calculation puts the volume at 213 Å³/f.u. Its energy relative to the elements is -2.481 eV per formula unit. The density of states at the Fermi level comes out at 21.2 states/eV/cell. The value obtained for the total magnetic moment is 0.00 μB/cell.

---

# 20
# SmHo6Tm3Sc2

A relaxed SmHo6Tm3Sc2 crystal (PBE, Alexandria via LeMat-Bulk).

It has space group C2/m (No. 12), with a = 6.029 Å, b = 10.431 Å, c = 11.531 Å, α = 90.00°, β = 99.99° and γ = 90.00°. The asymmetric unit holds Sm at (0.000, 0.000, 0.000), Ho at (0.247, 0.500, 0.247), Ho at (0.249, 0.332, 0.753), Tm at (0.000, 0.167, 0.500), Tm at (0.000, 0.500, 0.500) and Sc at (0.000, 0.333, 0.000).

The calculation puts the volume at 357 Å³/f.u. Its energy relative to the elements is 0.452 eV per formula unit. The density of states at the Fermi level comes out at 34.3 states/eV/cell. The value obtained for the total magnetic moment is 0.00 μB/cell.